VASP calculation (PBE-GGA) on crystalline TaTi3N at its relaxed geometry.

- ΔE_f (raw) (eV/f.u.) = -3.58
- calculated total energy (eV per atom) = -9.4878
- symmetry = Pm-3m, No. 221

Unit cell a=4.176 b=4.176 c=4.176 alpha=90.00 beta=90.00 gamma=90.00
Positions (direct):
Ti (0.000, 0.500, 0.000)
Ti (0.000, 0.000, 0.500)
N (0.000, 0.000, 0.000)
Ta (0.500, 0.500, 0.500)
Ti (0.500, 0.000, 0.000)

=====

VASP calculation (PBE-GGA) on crystalline GeSbMoW at its relaxed geometry.

- ΔE_f (raw) (eV/f.u.) = 1.21
- calculated total energy (eV per atom) = -7.8297
- symmetry = Cm, No. 8

Unit cell a=5.809 b=3.392 c=9.319 alpha=90.00 beta=128.33 gamma=90.00
Positions (direct):
W (0.649, 0.000, 0.935)
Mo (0.168, 0.000, 0.456)
Sb (0.061, 0.500, 0.196)
W (0.649, 0.500, 0.435)
Ge (0.580, 0.500, 0.695)
Ge (0.580, 0.000, 0.195)
Mo (0.168, 0.500, 0.956)
Sb (0.061, 0.000, 0.696)

=====

VASP calculation (PBE-GGA) on crystalline Cs5K4Au2 at its relaxed geometry.

- calculated total energy (eV per atom) = -1.4832
- energy of formation (meV/atom) = -100
- symmetry = P2/m, No. 10

Unit cell a=5.425 b=8.874 c=16.783 alpha=93.67 beta=90.00 gamma=90.00
Positions (direct):
Cs (0.000, 0.407, 0.350)
K (0.500, 0.833, 0.306)
K (0.500, 0.815, 0.844)
Cs (0.000, 0.744, 0.087)
Au (0.000, 0.970, 0.743)
K (0.500, 0.185, 0.156)
Cs (0.000, 0.000, 0.500)
Cs (0.000, 0.593, 0.650)
Cs (0.000, 0.256, 0.913)
Au (0.000, 0.030, 0.257)
K (0.500, 0.167, 0.694)

=====

> The highest calculated total energy belongs to which entry?

Cs5K4Au2